No. 1
Here is a crystal of AgBOs2Rh relaxed with PBEsol from Alexandria. Energies are from meta-GGA SCAN.

Cell lengths 4.7127, 4.7127, 4.6908 Å; angles 90.00, 90.00, 90.00 degrees
Closest atoms and distances in Å follow each position.
Atoms (fractional coordinates):
Ag1 0.0000 0.0000 0.0000  2 Rh 2.35, 4 Os 2.36
B1 0.5000 0.5000 0.5000  8 Os 3.32, 4 Rh 3.33
Os1 0.0000 0.5000 0.0000  2 Ag 2.36
Os2 0.5000 0.0000 0.0000  2 Ag 2.36
Rh1 0.0000 0.0000 0.5000  2 Ag 2.35

Output
As for the density: 9.6 g/cm3. The value obtained for the formation enthalpy at 0 K is 3.69 eV/atom. As for the space group: P4/mmm.



No. 2
Here is a crystal of Ag2SnBPd relaxed with PBEsol from Alexandria. Energies are from meta-GGA SCAN.

Cell lengths 5.0496, 5.0496, 4.9110 Å; angles 90.00, 90.00, 90.00 degrees
Closest atoms and distances in Å follow each position.
Atoms (fractional coordinates):
Ag1 0.0000 0.5000 0.0000  2 Sn 2.52
Ag2 0.5000 0.0000 0.0000  2 Sn 2.52
Sn1 0.0000 0.0000 0.0000  2 Pd 2.46, 4 Ag 2.52
B1 0.5000 0.5000 0.5000  8 Ag 3.52, 4 Pd 3.57
Pd1 0.0000 0.0000 0.5000  2 Sn 2.46

Output
As for the density: 6.0 g/cm3. The value obtained for the formation enthalpy at 0 K is 1.54 eV/atom. As for the space group: P4/mmm.



No. 3
Here is a crystal of Ag3BPt relaxed with PBEsol from Alexandria. Energies are from meta-GGA SCAN.

Cell lengths 4.9903, 4.9903, 4.9903 Å; angles 90.00, 90.00, 90.00 degrees
Closest atoms and distances in Å follow each position.
Atoms (fractional coordinates):
Ag1 0.0000 0.0000 0.5000  2 Pt 2.50
Ag2 0.0000 0.5000 0.0000  2 Pt 2.50
Ag3 0.5000 0.0000 0.0000  2 Pt 2.50
B1 0.5000 0.5000 0.5000  12 Ag 3.53
Pt1 0.0000 0.0000 0.0000  6 Ag 2.50

Output
As for the density: 7.1 g/cm3. The value obtained for the formation enthalpy at 0 K is 1.74 eV/atom. As for the space group: Pm-3m.



No. 4
Here is a crystal of AgB2Pt2 relaxed with PBEsol from Alexandria. Energies are from meta-GGA SCAN.

Cell lengths 3.1939, 3.1939, 12.1993 Å; angles 90.00, 90.00, 90.00 degrees
Closest atoms and distances in Å follow each position.
Atoms (fractional coordinates):
Ag1 0.0000 0.0000 0.0000  8 Pt 2.79
Ag2 0.5000 0.5000 0.5000  8 Pt 2.79
B1 0.0000 0.5000 0.2500  4 Pt 2.13, 4 B 2.26
B2 0.0000 0.5000 0.7500  4 Pt 2.13, 4 B 2.26
B3 0.5000 0.0000 0.2500  4 Pt 2.13, 4 B 2.26
B4 0.5000 0.0000 0.7500  4 Pt 2.13, 4 B 2.26
Pt1 0.0000 0.0000 0.3650  4 B 2.13
Pt2 0.0000 0.0000 0.6350  4 B 2.13
Pt3 0.5000 0.5000 0.1350  4 B 2.13
Pt4 0.5000 0.5000 0.8650  4 B 2.13

Output
As for the density: 13.9 g/cm3. The value obtained for the formation enthalpy at 0 K is -0.20 eV/atom. As for the space group: I4/mmm.



No. 5
Here is a crystal of Ag2BPt2 relaxed with PBEsol from Alexandria. Energies are from meta-GGA SCAN.

Cell lengths 5.5703, 5.5703, 4.8019 Å; angles 90.00, 90.00, 90.00 degrees
Closest atoms and distances in Å follow each position.
Atoms (fractional coordinates):
Ag1 0.1702 0.3298 0.0000  5 Ag 2.68-2.92, 2 Pt 2.73
Ag2 0.3298 0.8298 0.0000  5 Ag 2.68-2.92, 2 Pt 2.73
Ag3 0.6702 0.1702 0.0000  5 Ag 2.68-2.92, 2 Pt 2.73
Ag4 0.8298 0.6702 0.0000  5 Ag 2.68-2.92, 2 Pt 2.73
B1 0.0000 0.0000 0.5000  4 Pt 2.08
B2 0.5000 0.5000 0.5000  4 Pt 2.08
Pt1 0.1644 0.6644 0.5000  2 B 2.08
Pt2 0.3356 0.1644 0.5000  2 B 2.08
Pt3 0.6644 0.8356 0.5000  2 B 2.08
Pt4 0.8356 0.3356 0.5000  2 B 2.08

Output
As for the density: 13.7 g/cm3. The value obtained for the formation enthalpy at 0 K is -0.21 eV/atom. As for the space group: P4/mbm.



No. 6
Here is a crystal of Ag2BPtW relaxed with PBEsol from Alexandria. Energies are from meta-GGA SCAN.

Cell lengths 4.9926, 4.9926, 3.8218 Å; angles 90.00, 90.00, 90.00 degrees
Closest atoms and distances in Å follow each position.
Atoms (fractional coordinates):
Ag1 0.0000 0.5000 0.0000  2 Pt 2.50
Ag2 0.5000 0.0000 0.0000  2 Pt 2.50
B1 0.0000 0.0000 0.5000  2 Pt 1.91
Pt1 0.0000 0.0000 0.0000  2 B 1.91
W1 0.5000 0.5000 0.5000  8 Ag 3.14

Output
As for the density: 10.6 g/cm3. The value obtained for the formation enthalpy at 0 K is 1.56 eV/atom. As for the space group: P4/mmm.



Which value of formation enthalpy at 0 K does entry 2 give? 1.54 eV/atom



Which of these has the highest formation enthalpy at 0 K? AgBOs2Rh